Below is a geometry-optimized CaAg2Os structure, with properties calculated at the PBE level.

Properties
Final energy = -4.27 eV per atom
Fermi-level density of states = 0.407 states/eV/atom
Crystal system = tetragonal
Energy of formation = 0.47 eV per atom
Offset from the most stable computed form = 0.0280 eV/atom
Magnetization = 0.00 μB/cell

Geometry as CIF:
```
data_CaAg2Os
_chemical_formula_sum 'Ca1 Ag2 Os1'
_space_group_name_H-M_alt 'P 4/m m m'
_space_group_IT_number 123
_space_group_name_Hall '-P 4 2'
_cell_length_a 4.455
_cell_length_b 4.455
_cell_length_c 3.753
_cell_angle_alpha 90.00
_cell_angle_beta 90.00
_cell_angle_gamma 90.00
loop_
_atom_site_label
_atom_site_type_symbol
_atom_site_fract_x
_atom_site_fract_y
_atom_site_fract_z
Ca1 Ca 0.000 0.000 0.000
Ag1 Ag 0.000 0.500 0.500
Os1 Os 0.500 0.500 0.000
```